# 1
This record from the Alexandria database describes a geometry-optimized LaPmPr2 structure. The functional is GGA-PBE.

a = 5.894 Å, b = 5.894 Å, c = 5.894 Å
α = 60.00°, β = 60.00°, γ = 60.00°
Last column: magnetic moment on the atom in μB.
Positions (direct):
Pr1 0.250 0.250 0.250  0.14
Pr2 0.750 0.750 0.750  0.14
Pm1 0.500 0.500 0.500  0.15
La1 0.000 0.000 0.000  0.14

- excess energy over the best structure of this formula in the dataset (eV/atom) = 0.119
- D(E_F) (states/eV/atom) = 2.52

=====

# 2
This record from the Alexandria database describes a geometry-optimized La6PmPr8 structure. The functional is GGA-PBE.

a = 8.979 Å, b = 8.979 Å, c = 8.979 Å
α = 63.35°, β = 63.35°, γ = 63.35°
Positions (direct):
La1 0.905 0.462 0.759
La2 0.241 0.095 0.538
La3 0.538 0.241 0.095
La4 0.462 0.759 0.905
La5 0.759 0.905 0.462
La6 0.095 0.538 0.241
Pm1 0.000 0.000 0.000
Pr1 0.113 0.705 0.761
Pr2 0.239 0.887 0.295
Pr3 0.295 0.239 0.887
Pr4 0.578 0.578 0.578
Pr5 0.422 0.422 0.422
Pr6 0.705 0.761 0.113
Pr7 0.761 0.113 0.705
Pr8 0.887 0.295 0.239

- D(E_F) (states/eV/atom) = 1.70

=====

# 3
This record from the Alexandria database describes a geometry-optimized La2Pm3Pr3 structure. The functional is GGA-PBE.

a = 5.230 Å, b = 5.235 Å, c = 11.078 Å
α = 103.67°, β = 103.65°, γ = 90.00°
Positions (direct):
La1 0.750 0.250 0.500
La2 0.250 0.750 0.500
Pm1 0.124 0.124 0.248
Pm2 0.000 0.500 0.000
Pm3 0.876 0.876 0.752
Pr1 0.624 0.624 0.248
Pr2 0.376 0.376 0.752
Pr3 0.500 0.000 0.000

- excess energy over the best structure of this formula in the dataset (eV/atom) = 0.000
- D(E_F) (states/eV/atom) = 1.72

=====

# 4
This record from the Alexandria database describes a geometry-optimized LaPm5Pr structure. The functional is GGA-PBE.

a = 6.988 Å, b = 6.988 Å, c = 13.932 Å
α = 61.86°, β = 61.86°, γ = 60.00°
Positions (direct):
La1 0.721 0.279 0.750
La2 0.279 0.721 0.250
Pm1 0.161 0.402 0.749
Pm2 0.649 0.697 0.501
Pm3 0.402 0.161 0.249
Pm4 0.160 0.840 0.750
Pm5 0.303 0.351 0.999
Pm6 0.697 0.649 0.001
Pm7 0.840 0.160 0.250
Pm8 0.598 0.839 0.751
Pm9 0.351 0.303 0.499
Pm10 0.839 0.598 0.251
Pr1 0.000 0.000 0.000
Pr2 0.000 0.000 0.500

- excess energy over the best structure of this formula in the dataset (eV/atom) = 0.000
- D(E_F) (states/eV/atom) = 1.46

=====

# 5
This record from the Alexandria database describes a geometry-optimized La2Pm3Pr6 structure. The functional is GGA-PBE.

a = 6.435 Å, b = 8.272 Å, c = 15.281 Å
α = 49.37°, β = 60.45°, γ = 97.15°
Positions (direct):
La1 0.639 0.457 0.090
La2 0.361 0.543 0.910
Pm1 0.000 0.000 0.000
Pm2 0.546 0.817 0.364
Pm3 0.454 0.183 0.636
Pr1 0.091 0.637 0.727
Pr2 0.728 0.093 0.817
Pr3 0.909 0.363 0.273
Pr4 0.272 0.907 0.183
Pr5 0.818 0.725 0.545
Pr6 0.182 0.275 0.455

- excess energy over the best structure of this formula in the dataset (eV/atom) = 0.000
- D(E_F) (states/eV/atom) = 1.75

=====

# 6
This record from the Alexandria database describes a geometry-optimized LaPm3Pr2 structure. The functional is GGA-PBE.

a = 6.882 Å, b = 7.828 Å, c = 7.828 Å
α = 90.25°, β = 90.00°, γ = 90.00°
Positions (direct):
La1 0.750 0.899 0.899
La2 0.250 0.101 0.101
Pm1 0.250 0.405 0.405
Pm2 0.750 0.595 0.595
Pm3 0.500 0.252 0.748
Pm4 0.000 0.252 0.748
Pm5 0.500 0.748 0.252
Pm6 0.000 0.748 0.252
Pr1 0.750 0.402 0.100
Pr2 0.250 0.598 0.900
Pr3 0.250 0.900 0.598
Pr4 0.750 0.100 0.402

- excess energy over the best structure of this formula in the dataset (eV/atom) = 0.152
- D(E_F) (states/eV/atom) = 1.10

=====

# 7
This record from the Alexandria database describes a geometry-optimized La7Pm4Pr structure. The functional is GGA-PBE.

a = 7.477 Å, b = 6.487 Å, c = 11.860 Å
α = 79.46°, β = 50.96°, γ = 89.97°
Positions (direct):
La1 0.747 0.499 0.001
La2 0.253 0.501 0.999
La3 0.082 0.279 0.666
La4 0.918 0.721 0.334
La5 0.331 0.778 0.668
La6 0.500 0.000 0.000
La7 0.669 0.222 0.332
Pm1 0.417 0.724 0.331
Pm2 0.583 0.276 0.669
Pm3 0.832 0.778 0.668
Pm4 0.168 0.222 0.332
Pr1 0.000 0.000 0.000

- excess energy over the best structure of this formula in the dataset (eV/atom) = 0.000
- D(E_F) (states/eV/atom) = 1.59

=====

# 8
This record from the Alexandria database describes a geometry-optimized La2PmPr structure. The functional is GGA-PBE.

a = 4.372 Å, b = 4.372 Å, c = 7.535 Å
α = 90.00°, β = 90.00°, γ = 90.00°
Positions (direct):
Pr1 0.500 0.500 0.500
La1 0.000 0.000 0.756
La2 0.000 0.000 0.244
Pm1 0.500 0.500 0.000

- excess energy over the best structure of this formula in the dataset (eV/atom) = 0.084
- D(E_F) (states/eV/atom) = 2.26

=====

The evaluated total magnetization for the records listed, in turn: 1.15 0.00 0.00 0.00 0.00 0.00 0.00 0.00 μB/cell.
The evaluated electronic total energy for the records listed, in turn: -4.6782 -4.7407 -4.7931 -4.6216 -4.7847 -4.6256 -4.8452 -4.7532 eV/atom.
The evaluated formation enthalpy at 0 K for the records listed, in turn: 0.1311 0.0961 0.0126 0.1584 0.0138 0.1641 0.0109 0.0931 eV per atom.